Density functional theory data (GGA-PBE) for a relaxed TmNpSn6 crystal.

Values from the calculation:
Density ... 9.12 g/cm³
DFT formation energy ... -24.6 kJ per mole of atoms
SG ... P4/mmm
VASP energy ... -43.5 eV for the cell shown

Cell: 4.7086 4.7086 9.1825 Å, 90.00 90.00 90.00°
Last column: nearest neighbours and their distance in Å.
Positions (direct):
Tm 0.0000 0.0000 0.0000  12 Sn 3.29-3.33
Np 0.0000 0.0000 0.5000  12 Sn 3.28-3.33
Sn 0.0000 0.5000 0.2506  8 Sn 3.28-3.33, 2 Np 3.28, 2 Tm 3.29
Sn 0.0000 0.5000 0.7494  8 Sn 3.28-3.33, 2 Np 3.28, 2 Tm 3.29
Sn 0.5000 0.0000 0.2506  8 Sn 3.28-3.33, 2 Np 3.28, 2 Tm 3.29
Sn 0.5000 0.0000 0.7494  8 Sn 3.28-3.33, 2 Np 3.28, 2 Tm 3.29
Sn 0.5000 0.5000 0.0000  8 Sn 3.29, 4 Tm 3.33
Sn 0.5000 0.5000 0.5000  8 Sn 3.28, 4 Np 3.33



Density functional theory data (GGA-PBE) for a relaxed PaNbGa crystal.

Values from the calculation:
Density ... 10.45 g/cm³
DFT formation energy ... -1.2 kJ per mole of atoms
SG ... I4mm
Distance to the lowest polymorph of the same formula ... 0 meV/atom
VASP energy ... -22.6 eV for the cell shown

Cell: 5.4043 5.4043 5.4043 Å, 140.79 140.79 56.66°
Last column: nearest neighbours and their distance in Å.
Positions (direct):
Pa 0.0000 0.0000 0.0000  1 Nb 2.71, 1 Ga 3.03
Nb 0.7152 0.7152 0.0000  1 Pa 2.71, 4 Ga 2.74
Ga 0.3180 0.3180 0.0000  4 Nb 2.74, 1 Pa 3.03